Entry i
## ScBr2Cl (PBE)

Data for crystalline ScBr2Cl at its relaxed geometry.

Calculated values
DOS at the Fermi energy in states/eV/f.u.: 4.2
Calculated volume in A^3/atom: 29.1

a = 3.7673 Å, b = 3.7673 Å, c = 28.4395 Å
α = 90.00°, β = 90.00°, γ = 120.00°
Space group R-3m (No. 166, hexagonal axes)
Asymmetric unit:
Sc: 0.0000 0.0000 0.0000
Br: 0.0000 0.0000 0.3905
Cl: 0.0000 0.0000 0.5000

=====

Entry ii
## ScBr2Cl (PBE)

Data for crystalline ScBr2Cl at its relaxed geometry.

Calculated values
DOS at the Fermi energy in states/eV/f.u.: 2.5
Calculated volume in A^3/atom: 25.4

a = 3.2760 Å, b = 3.2760 Å, c = 9.4835 Å
α = 90.00°, β = 90.00°, γ = 90.00°
Space group P4mm (No. 99)
Asymmetric unit:
Sc: 0.0000 0.0000 0.0000
Br: 0.0000 0.0000 0.5145
Br: 0.5000 0.5000 0.1766
Cl: 0.5000 0.5000 0.8454

=====

Least stable = entry i

=====

Entry i
## ScBrCl2 (PBE)

Data for crystalline ScBrCl2 at its relaxed geometry.

Calculated values
DOS at the Fermi energy in states/eV/f.u.: 0.0
Calculated volume in A^3/atom: 33.7

a = 3.4039 Å, b = 11.2366 Å, c = 7.0518 Å
α = 90.00°, β = 90.00°, γ = 90.00°
Space group Imm2 (No. 44)
Asymmetric unit:
Sc: 0.0000 0.0000 0.0000
Br: 0.0000 0.5000 0.2078
Cl: 0.0000 0.3553 0.6299

=====

Entry ii
## ScBrCl2 (PBE)

Data for crystalline ScBrCl2 at its relaxed geometry.

Calculated values
DOS at the Fermi energy in states/eV/f.u.: 0.0
Calculated volume in A^3/atom: 32.5

a = 3.7601 Å, b = 5.0003 Å, c = 13.8442 Å
α = 90.00°, β = 90.00°, γ = 90.00°
Space group Amm2 (No. 38)
Asymmetric unit:
Sc: 0.0000 0.0000 0.0000
Br: 0.5000 0.0000 0.1363
Cl: 0.0000 0.0000 0.4959
Cl: 0.5000 0.0000 0.8796

=====

Entry iii
## ScBrCl2 (PBE)

Data for crystalline ScBrCl2 at its relaxed geometry.

Calculated values
DOS at the Fermi energy in states/eV/f.u.: 3.4
Calculated volume in A^3/atom: 27.5

a = 3.5328 Å, b = 3.5328 Å, c = 30.5156 Å
α = 90.00°, β = 90.00°, γ = 120.00°
Space group R-3m (No. 166, hexagonal axes)
Asymmetric unit:
Sc: 0.0000 0.0000 0.0000
Br: 0.0000 0.0000 0.5000
Cl: 0.0000 0.0000 0.3836

=====

Entry iv
## ScBrCl2 (PBE)

Data for crystalline ScBrCl2 at its relaxed geometry.

Calculated values
DOS at the Fermi energy in states/eV/f.u.: 1.3
Calculated volume in A^3/atom: 26.8

a = 3.6696 Å, b = 3.6696 Å, c = 7.9672 Å
α = 90.00°, β = 90.00°, γ = 90.00°
Space group P4mm (No. 99)
Asymmetric unit:
Sc: 0.0000 0.0000 0.0000
Br: 0.5000 0.5000 0.2610
Cl: 0.0000 0.0000 0.7051
Cl: 0.5000 0.5000 0.8869

=====

Least stable = entry iv

=====

Entry i
## ScBrCl2 (PBE)

Data for crystalline ScBrCl2 at its relaxed geometry.

Calculated values
DOS at the Fermi energy in states/eV/f.u.: 2.3
Calculated volume in A^3/atom: 36.8

a = 3.7516 Å, b = 3.7516 Å, c = 36.1898 Å
α = 90.00°, β = 90.00°, γ = 120.00°
Space group R-3m (No. 166, hexagonal axes)
Asymmetric unit:
Sc: 0.0000 0.0000 0.0000
Br: 0.0000 0.0000 0.5000
Cl: 0.0000 0.0000 0.0625

=====

Entry ii
## ScBrCl2 (PBE)

Data for crystalline ScBrCl2 at its relaxed geometry.

Calculated values
DOS at the Fermi energy in states/eV/f.u.: 1.7
Calculated volume in A^3/atom: 21.6

a = 4.3917 Å, b = 4.3917 Å, c = 4.4802 Å
α = 90.00°, β = 90.00°, γ = 90.00°
Space group P4/mmm (No. 123)
Asymmetric unit:
Sc: 0.0000 0.0000 0.0000
Br: 0.5000 0.5000 0.0000
Cl: 0.0000 0.5000 0.5000

=====

Entry iii
## ScBrCl2 (PBE)

Data for crystalline ScBrCl2 at its relaxed geometry.

Calculated values
DOS at the Fermi energy in states/eV/f.u.: 2.2
Calculated volume in A^3/atom: 24.4

a = 3.1818 Å, b = 3.1818 Å, c = 9.6362 Å
α = 90.00°, β = 90.00°, γ = 90.00°
Space group P4/mmm (No. 123)
Asymmetric unit:
Sc: 0.0000 0.0000 0.0000
Br: 0.0000 0.0000 0.5000
Cl: 0.5000 0.5000 0.1571

=====

Entry iv
## ScBrCl2 (PBE)

Data for crystalline ScBrCl2 at its relaxed geometry.

Calculated values
DOS at the Fermi energy in states/eV/f.u.: 2.5
Calculated volume in A^3/atom: 23.5

a = 6.1315 Å, b = 9.3028 Å, c = 4.0129 Å
α = 90.00°, β = 124.82°, γ = 90.00°
Space group C2/m (No. 12)
Asymmetric unit:
Sc: 0.0000 0.0000 0.0000
Br: 0.0000 0.5000 0.0000
Cl: 0.2500 0.2500 0.5000

=====

Least stable = entry i

=====

Entry i
## ScBrCl2 (PBE)

Data for crystalline ScBrCl2 at its relaxed geometry.

Calculated values
DOS at the Fermi energy in states/eV/f.u.: 0.0
Calculated volume in A^3/atom: 31.9

a = 5.3180 Å, b = 12.9454 Å, c = 3.7047 Å
α = 90.00°, β = 90.00°, γ = 90.00°
Space group Cmmm (No. 65)
Asymmetric unit:
Sc: 0.0000 0.0000 0.0000
Br: 0.0000 0.5000 0.0000
Cl: 0.0000 0.1311 0.5000

=====

Entry ii
## ScBrCl2 (PBE)

Data for crystalline ScBrCl2 at its relaxed geometry.

Calculated values
DOS at the Fermi energy in states/eV/f.u.: 0.0
Calculated volume in A^3/atom: 20.8

a = 6.9271 Å, b = 6.9271 Å, c = 6.9271 Å
α = 90.00°, β = 90.00°, γ = 90.00°
Space group Fm-3m (No. 225)
Asymmetric unit:
Sc: 0.0000 0.0000 0.0000
Br: 0.0000 0.0000 0.5000
Cl: 0.2500 0.2500 0.2500

=====

Entry iii
## ScBrCl2 (PBE)

Data for crystalline ScBrCl2 at its relaxed geometry.

Calculated values
Calculated volume in A^3/atom: 20.6

a = 6.9064 Å, b = 6.9064 Å, c = 6.9064 Å
α = 90.00°, β = 90.00°, γ = 90.00°
Space group F-43m (No. 216)
Asymmetric unit:
Sc: 0.0000 0.0000 0.0000
Br: 0.2500 0.2500 0.2500
Cl: 0.0000 0.0000 0.5000
Cl: 0.2500 0.2500 0.7500

=====

Entry iv
## ScBrCl2 (PBE)

Data for crystalline ScBrCl2 at its relaxed geometry.

Calculated values
Calculated volume in A^3/atom: 29.5

a = 3.4279 Å, b = 5.4217 Å, c = 12.7098 Å
α = 90.00°, β = 90.00°, γ = 90.00°
Space group Immm (No. 71)
Asymmetric unit:
Sc: 0.0000 0.0000 0.0000
Br: 0.0000 0.0000 0.5000
Cl: 0.0000 0.5000 0.3562

=====

Least stable = entry ii

=====

Entry i
## Sc2BrCl2 (PBE)

Data for crystalline Sc2BrCl2 at its relaxed geometry.

Calculated values
DOS at the Fermi energy in states/eV/f.u.: 3.2
Calculated volume in A^3/atom: 20.1

a = 7.7102 Å, b = 7.7102 Å, c = 3.3797 Å
α = 90.00°, β = 90.00°, γ = 90.00°
Space group P4/mbm (No. 127)
Asymmetric unit:
Sc: 0.1470 0.3530 0.0000
Br: 0.0000 0.0000 0.0000
Cl: 0.1411 0.6411 0.5000

=====

Entry ii
## Sc2BrCl2 (PBE)

Data for crystalline Sc2BrCl2 at its relaxed geometry.

Calculated values
DOS at the Fermi energy in states/eV/f.u.: 5.2
Calculated volume in A^3/atom: 23.8

a = 4.5416 Å, b = 4.5416 Å, c = 11.5330 Å
α = 90.00°, β = 90.00°, γ = 90.00°
Space group I4/mmm (No. 139)
Asymmetric unit:
Sc: 0.0000 0.0000 0.1273
Br: 0.0000 0.0000 0.5000
Cl: 0.0000 0.5000 0.2500

=====

Least stable = entry ii

=====

Entry i
## ScBr3Cl (PBE)

Data for crystalline ScBr3Cl at its relaxed geometry.

Calculated values
DOS at the Fermi energy in states/eV/f.u.: 9.7
Calculated volume in A^3/atom: 31.8

a = 5.4179 Å, b = 5.4179 Å, c = 5.4179 Å
α = 90.00°, β = 90.00°, γ = 90.00°
Space group Pm-3m (No. 221)
Asymmetric unit:
Sc: 0.0000 0.0000 0.0000
Br: 0.0000 0.5000 0.5000
Cl: 0.5000 0.5000 0.5000

=====

Entry ii
## ScBr3Cl (PBE)

Data for crystalline ScBr3Cl at its relaxed geometry.

Calculated values
DOS at the Fermi energy in states/eV/f.u.: 6.4
Calculated volume in A^3/atom: 29.8

a = 5.3005 Å, b = 5.3005 Å, c = 5.3005 Å
α = 90.00°, β = 90.00°, γ = 90.00°
Space group Pm-3m (No. 221)
Asymmetric unit:
Sc: 0.0000 0.0000 0.0000
Br: 0.0000 0.0000 0.5000
Cl: 0.5000 0.5000 0.5000

=====

Least stable = entry i

=====

Entry i
## SeBrCl (PBE)

Data for crystalline SeBrCl at its relaxed geometry.

Calculated values
Calculated volume in A^3/atom: 41.0

a = 5.1335 Å, b = 6.6249 Å, c = 7.4810 Å
α = 83.98°, β = 84.99°, γ = 76.78°
Space group P-1 (No. 2)
Asymmetric unit:
Se: 0.0610 0.4161 0.1622
Br: 0.3942 0.1495 0.3211
Cl: 0.1940 0.6944 0.2121

=====

Entry ii
## SeBrCl (PBE)

Data for crystalline SeBrCl at its relaxed geometry.

Calculated values
DOS at the Fermi energy in states/eV/f.u.: 0.0
Calculated volume in A^3/atom: 39.8

a = 5.3455 Å, b = 6.7169 Å, c = 7.0241 Å
α = 80.04°, β = 86.63°, γ = 74.24°
Space group P1 (No. 1)
Asymmetric unit:
Se: 0.0000 0.0000 0.0000
Se: 0.1840 0.2907 0.9624
Br: 0.4995 0.1976 0.2226
Br: 0.8305 0.3085 0.6919
Cl: 0.1449 0.8141 0.2886
Cl: 0.2775 0.7775 0.8230

=====

Least stable = entry i

=====

Entry i
## SeBrCl (PBE)

Data for crystalline SeBrCl at its relaxed geometry.

Calculated values
DOS at the Fermi energy in states/eV/f.u.: 0.0
Calculated volume in A^3/atom: 37.0

a = 3.6040 Å, b = 8.5457 Å, c = 14.4236 Å
α = 90.00°, β = 90.00°, γ = 90.00°
Space group Fmm2 (No. 42)
Asymmetric unit:
Se: 0.0000 0.0000 0.0000
Br: 0.0000 0.0000 0.6297
Cl: 0.0000 0.0000 0.3802

=====

Entry ii
## SeBrCl (PBE)

Data for crystalline SeBrCl at its relaxed geometry.

Calculated values
DOS at the Fermi energy in states/eV/f.u.: 0.7
Calculated volume in A^3/atom: 34.7

a = 4.1912 Å, b = 4.1912 Å, c = 11.8398 Å
α = 90.00°, β = 90.00°, γ = 90.00°
Space group I4mm (No. 107)
Asymmetric unit:
Se: 0.0000 0.0000 0.0000
Br: 0.0000 0.0000 0.4820
Cl: 0.0000 0.0000 0.1818

=====

Least stable = entry ii

=====

Entry i
## SeBrCl (PBE)

Data for crystalline SeBrCl at its relaxed geometry.

Calculated values
DOS at the Fermi energy in states/eV/f.u.: 0.0
Calculated volume in A^3/atom: 40.8

a = 5.4565 Å, b = 6.8649 Å, c = 7.4709 Å
α = 65.54°, β = 83.89°, γ = 73.96°
Space group P1 (No. 1)
Asymmetric unit:
Se: 0.0000 0.0000 0.0000
Se: 0.1741 0.3103 0.9138
Br: 0.6591 0.0425 0.2251
Br: 0.9741 0.4707 0.1479
Cl: 0.3742 0.0525 0.7433
Cl: 0.9531 0.5780 0.6495

=====

Entry ii
## SeBrCl (PBE)

Data for crystalline SeBrCl at its relaxed geometry.

Calculated values
DOS at the Fermi energy in states/eV/f.u.: 0.0
Calculated volume in A^3/atom: 40.4

a = 5.2333 Å, b = 5.4588 Å, c = 9.1451 Å
α = 101.23°, β = 99.99°, γ = 103.53°
Space group P1 (No. 1)
Asymmetric unit:
Se: 0.0000 0.0000 0.0000
Se: 0.1528 0.9372 0.7867
Br: 0.2364 0.8082 0.1761
Br: 0.7059 0.4256 0.5792
Cl: 0.5414 0.2867 0.8392
Cl: 0.8733 0.5641 0.3931

=====

Entry iii
## SeBrCl (PBE)

Data for crystalline SeBrCl at its relaxed geometry.

Calculated values
Calculated volume in A^3/atom: 39.8

a = 5.1095 Å, b = 5.3963 Å, c = 8.9140 Å
α = 77.26°, β = 85.23°, γ = 87.31°
Space group P-1 (No. 2)
Asymmetric unit:
Se: 0.1975 0.4311 0.3051
Br: 0.3375 0.6300 0.7642
Cl: 0.1609 0.8424 0.2235

=====

Least stable = entry ii

=====

Entry i
## SeBrCl (PBE)

Data for crystalline SeBrCl at its relaxed geometry.

Calculated values
Calculated volume in A^3/atom: 40.8

a = 5.4608 Å, b = 6.8351 Å, c = 7.5674 Å
α = 63.50°, β = 82.96°, γ = 75.60°
Space group P1 (No. 1)
Asymmetric unit:
Se: 0.0000 0.0000 0.0000
Se: 0.1881 0.3102 0.9144
Br: 0.3971 0.0476 0.7337
Br: 0.6537 0.0398 0.2245
Cl: 0.9758 0.5866 0.6498
Cl: 0.9981 0.4509 0.1327

=====

Entry ii
## SeBrCl (PBE)

Data for crystalline SeBrCl at its relaxed geometry.

Calculated values
Calculated volume in A^3/atom: 39.3

a = 4.6928 Å, b = 5.0711 Å, c = 5.1380 Å
α = 87.67°, β = 76.97°, γ = 81.37°
Space group P1 (No. 1)
Asymmetric unit:
Se: 0.0000 0.0000 0.0000
Br: 0.8313 0.4798 0.0358
Cl: 0.1631 0.9756 0.5645

=====

Entry iii
## SeBrCl (PBE)

Data for crystalline SeBrCl at its relaxed geometry.

Calculated values
DOS at the Fermi energy in states/eV/f.u.: 4.1
Calculated volume in A^3/atom: 26.9

a = 6.8599 Å, b = 6.8599 Å, c = 6.8599 Å
α = 90.00°, β = 90.00°, γ = 90.00°
Space group F-43m (No. 216)
Asymmetric unit:
Se: 0.0000 0.0000 0.0000
Br: 0.2500 0.2500 0.7500
Cl: 0.2500 0.2500 0.2500

=====

Least stable = entry iii